[1]
Compound: HfZr2MnAg
Source: the Alexandria database
Functional: PBE
Structure: relaxed

Lattice parameters (Å, degrees): 5.207 5.207 4.383 90.00 90.00 90.00
Space group P4/mmm (No. 123)
One atom of each set of equivalent atoms:
Hf 0.000 0.000 0.000 x1
Zr 0.000 0.500 0.000 x2
Mn 0.000 0.000 0.500 x1
Ag 0.500 0.500 0.500 x1

Computed properties:
- DFT formation energy (eV/atom) = 1.2706
- energy above the most stable polymorph in this dataset (meV/atom) = 706

---

[2]
Compound: Tm4RuPt
Source: the Alexandria database
Functional: PBE
Structure: relaxed

Lattice parameters (Å, degrees): 6.799 6.773 6.762 90.00 91.25 90.00
Space group P2_1/c (No. 14)
One atom of each set of equivalent atoms:
Tm 0.161 0.167 0.173 x4
Tm 0.327 0.665 0.159 x4
Ru 0.000 0.000 0.500 x2
Pt 0.500 0.000 0.000 x2

Computed properties:
- DFT formation energy (eV/atom) = -0.6191
- energy above the most stable polymorph in this dataset (meV/atom) = 84

---

[3]
Compound: Ga5IrRu4
Source: the Alexandria database
Functional: PBE
Structure: relaxed

Lattice parameters (Å, degrees): 3.033 3.033 15.191 90.00 90.00 90.00
Space group P4/mmm (No. 123)
One atom of each set of equivalent atoms:
Ga 0.000 0.000 0.000 x1
Ga 0.000 0.000 0.200 x2
Ga 0.000 0.000 0.397 x2
Ir 0.500 0.500 0.500 x1
Ru 0.500 0.500 0.100 x2
Ru 0.500 0.500 0.299 x2

Computed properties:
- DFT formation energy (eV/atom) = -0.3323

---

[4]
Compound: NaFe2H6
Source: the Alexandria database
Functional: PBE
Structure: relaxed

Lattice parameters (Å, degrees): 4.3388 4.3388 4.7539 90.00 90.00 120.00
Space group P-31m (No. 162)
One atom of each set of equivalent atoms:
Na 0.0000 0.0000 0.0000 x1
Fe 0.3333 0.6667 0.5000 x2
H 0.0000 0.4219 0.2804 x6

Computed properties:
- E_tot (eV per atom) = -4.247